Entry 1:
DFT (PBE) results for a relaxed structure of Zn2Cd2Ge.

a b c (Å): 8.2641 8.2641 2.8987
angles (deg): 90.00 90.00 90.00
Element x y z (fractional)
Zn  0.1148  0.3852  0.0000
Zn  0.3852  0.8852  0.0000
Zn  0.6148  0.1148  0.0000
Zn  0.8852  0.6148  0.0000
Cd  0.1834  0.6834  0.5000
Cd  0.3166  0.1834  0.5000
Cd  0.6834  0.8166  0.5000
Cd  0.8166  0.3166  0.5000
Ge  0.0000  0.0000  0.5000
Ge  0.5000  0.5000  0.5000

energy above the lowest structure with this stoichiometry = 0 meV/atom
crystal system = tetragonal

Entry 2:
DFT (PBE) results for a relaxed structure of ZrCdGe.

a b c (Å): 4.6703 4.6703 8.0507
angles (deg): 115.11 115.11 61.40
Element x y z (fractional)
Zr  0.1260  0.1260  0.2684
Zr  0.8740  0.8740  0.7316
Cd  0.3520  0.3520  0.0430
Cd  0.6480  0.6480  0.9570
Ge  0.1752  0.1752  0.6327
Ge  0.8248  0.8248  0.3673

crystal system = monoclinic

Entry 3:
DFT (PBE) results for a relaxed structure of ZrCd2Ge2.

a b c (Å): 7.4229 7.4229 7.4229
angles (deg): 149.36 149.36 43.88
Element x y z (fractional)
Zr  0.0000  0.0000  0.0000
Cd  0.2500  0.7500  0.5000
Cd  0.7500  0.2500  0.5000
Ge  0.4092  0.4092  0.0000
Ge  0.5908  0.5908  0.0000

energy above the lowest structure with this stoichiometry = 62 meV/atom
crystal system = tetragonal

Entry 4:
DFT (PBE) results for a relaxed structure of Zr2CdGe.

a b c (Å): 6.1950 6.1950 6.1950
angles (deg): 103.42 103.42 122.40
Element x y z (fractional)
Zr  0.1047  0.6250  0.9797
Zr  0.3750  0.3547  0.4797
Zr  0.6453  0.1250  0.0203
Zr  0.8750  0.8953  0.5203
Cd  0.2500  0.7500  0.5000
Cd  0.5000  0.5000  0.0000
Ge  0.0000  0.0000  0.0000
Ge  0.7500  0.2500  0.5000

crystal system = tetragonal

Entry 5:
DFT (PBE) results for a relaxed structure of ZrCd2Ge2.

a b c (Å): 7.2134 7.2134 4.0355
angles (deg): 90.00 90.00 90.00
Element x y z (fractional)
Zr  0.0000  0.0000  0.0000
Zr  0.5000  0.5000  0.0000
Cd  0.1718  0.3282  0.5000
Cd  0.3282  0.8282  0.5000
Cd  0.6718  0.1718  0.5000
Cd  0.8282  0.6718  0.5000
Ge  0.1303  0.6303  0.0000
Ge  0.3697  0.1303  0.0000
Ge  0.6303  0.8697  0.0000
Ge  0.8697  0.3697  0.0000

energy above the lowest structure with this stoichiometry = 0 meV/atom
crystal system = tetragonal

Entry 6:
DFT (PBE) results for a relaxed structure of ZrCdGe2.

a b c (Å): 6.0725 6.0725 6.0725
angles (deg): 104.59 104.59 119.75
Element x y z (fractional)
Zr  0.0000  0.0000  0.0000
Zr  0.7500  0.2500  0.5000
Cd  0.2500  0.7500  0.5000
Cd  0.5000  0.5000  0.0000
Ge  0.1356  0.1250  0.5106
Ge  0.3750  0.8644  0.9894
Ge  0.6144  0.6250  0.4894
Ge  0.8750  0.3856  0.0106

crystal system = tetragonal

So what do the calculations give for DFT formation energy? Going down the list: 181, -99, 57, -95, -5, 61 meV/atom.
So what do the calculations give for total magnetic moment? Going down the list: 0.0, 0.0, 0.0, 0.0, 0.0, 0.0 μB/cell.